Record 1
SrP2Ru | SCAN | single point on PBEsol structure

It has space group I-4m2 (No. 119), with a = 3.9379 Å, b = 3.9379 Å, c = 9.0469 Å, α = 90.00°, β = 90.00° and γ = 90.00°. The asymmetric unit holds Sr at (0.0000, 0.0000, 0.0000), P at (0.0000, 0.0000, 0.5000), P at (0.0000, 0.5000, 0.2500) and Ru at (0.0000, 0.5000, 0.7500).

As for the calculated volume: 17.54 A^3/atom. For the formation energy, the calculation gives 370 meV/atom. The excess energy over the best structure of this formula in the dataset comes out at 1143.8 meV per atom. The value obtained for the total energy is -152.8 eV for the cell shown. For the density of states at the Fermi level, the calculation gives 6.27 states/eV/cell.



Record 2
Ta2InCu | SCAN | single point on PBEsol structure

It has space group Pmm2 (No. 25), with a = 2.9858 Å, b = 3.7186 Å, c = 6.2427 Å, α = 90.00°, β = 90.00° and γ = 90.00°. The asymmetric unit holds Ta at (0.0000, 0.0000, 0.0000), Ta at (0.5000, 0.5000, 0.2323), In at (0.5000, 0.5000, 0.7056) and Cu at (0.0000, 0.0000, 0.4675).

As for the calculated volume: 17.33 A^3/atom. For the formation energy, the calculation gives 221 meV/atom. The value obtained for the total energy is -180.9 eV for the cell shown. For the density of states at the Fermi level, the calculation gives 2.57 states/eV/cell.



Record 3
YScRh4 | SCAN | single point on PBEsol structure

It has space group F-43m (No. 216), with a = 7.3439 Å, b = 7.3439 Å, c = 7.3439 Å, α = 90.00°, β = 90.00° and γ = 90.00°. The asymmetric unit holds Y at (0.0000, 0.0000, 0.0000), Sc at (0.2500, 0.2500, 0.7500) and Rh at (0.1247, 0.1247, 0.3753).

As for the calculated volume: 16.50 A^3/atom. For the formation energy, the calculation gives -816 meV/atom. The value obtained for the total energy is -728.3 eV for the cell shown. For the density of states at the Fermi level, the calculation gives 11.76 states/eV/cell.